# ReSiP GGA-PBE relaxed
data_ReSiP
_chemical_formula_sum 'Re4 Si4 P4'
_symmetry_space_group_name_H-M 'F -4 3 m'
_symmetry_Int_Tables_number 216
_symmetry_space_group_name_Hall 'F -4 2 3'
_cell_length_a 5.629
_cell_length_b 5.629
_cell_length_c 5.629
_cell_angle_alpha 90.00
_cell_angle_beta 90.00
_cell_angle_gamma 90.00
loop_
_atom_site_label
_atom_site_type_symbol
_atom_site_fract_x
_atom_site_fract_y
_atom_site_fract_z
Re1 Re 0.000 0.000 0.000
Si1 Si 0.000 0.000 0.500
P1 P 0.250 0.250 0.250
# volume	14.9	Å³ per atom
# offset from the most stable computed form	679	meV/atom
# uncorrected formation energy	0.517	eV per atom
# Fermi-level density of states	2.43	states/eV/f.u.
# crystal system	cubic


# ReSi2P GGA-PBE relaxed
data_ReSi2P
_chemical_formula_sum 'Re2 Si4 P2'
_symmetry_space_group_name_H-M 'I 4/m m m'
_symmetry_Int_Tables_number 139
_symmetry_space_group_name_Hall '-I 4 2'
_cell_length_a 3.790
_cell_length_b 3.790
_cell_length_c 7.509
_cell_angle_alpha 90.00
_cell_angle_beta 90.00
_cell_angle_gamma 90.00
loop_
_atom_site_label
_atom_site_type_symbol
_atom_site_fract_x
_atom_site_fract_y
_atom_site_fract_z
Re1 Re 0.000 0.000 0.000
Si1 Si 0.000 0.500 0.250
P1 P 0.000 0.000 0.500
# volume	13.5	Å³ per atom
# uncorrected formation energy	0.421	eV per atom
# Fermi-level density of states	1.35	states/eV/f.u.
# crystal system	tetragonal